First-principles (PBE) data for a relaxed structure of MgSiOsPb, as listed in OQMD.

Geometry as CIF:
```
data_MgSiOsPb
_chemical_formula_sum 'Mg1 Si1 Os1 Pb1'
_cell_length_a 4.639
_cell_length_b 4.639
_cell_length_c 4.639
_cell_angle_alpha 60.00
_cell_angle_beta 60.00
_cell_angle_gamma 60.00
_symmetry_space_group_name_H-M 'P 1'
_symmetry_Int_Tables_number 1
loop_
_symmetry_equiv_pos_as_xyz
'x,y,z'
loop_
_atom_site_label
_atom_site_type_symbol
_atom_site_fract_x
_atom_site_fract_y
_atom_site_fract_z
Mg1 Mg 0.750 0.750 0.750
Os1 Os 0.250 0.250 0.250
Pb1 Pb 0.500 0.500 0.500
Si1 Si 0.000 0.000 0.000
```

Computed properties:
- Raw total energy: -20.05 eV per formula unit
- Total magnetic moment: 0.00 Bohr magnetons per cell
- Polymorph energy (0 for the lowest one): 0 meV per atom

=====

First-principles (PBE) data for a relaxed structure of AgSb5Au3, as listed in OQMD.

Geometry as CIF:
```
data_AgSb5Au3
_chemical_formula_sum 'Ag1 Sb5 Au3'
_cell_length_a 5.580
_cell_length_b 5.580
_cell_length_c 8.869
_cell_angle_alpha 90.00
_cell_angle_beta 90.00
_cell_angle_gamma 120.00
_symmetry_space_group_name_H-M 'P 1'
_symmetry_Int_Tables_number 1
loop_
_symmetry_equiv_pos_as_xyz
'x,y,z'
loop_
_atom_site_label
_atom_site_type_symbol
_atom_site_fract_x
_atom_site_fract_y
_atom_site_fract_z
Ag1 Ag 0.000 0.000 0.000
Au1 Au 0.500 0.000 0.500
Au2 Au 0.000 0.500 0.500
Au3 Au 0.500 0.500 0.500
Sb1 Sb 0.667 0.333 0.168
Sb2 Sb 0.333 0.667 0.168
Sb3 Sb 0.000 0.000 0.500
Sb4 Sb 0.667 0.333 0.832
Sb5 Sb 0.333 0.667 0.832
```

Computed properties:
- Raw total energy: -30.97 eV per formula unit

=====

First-principles (PBE) data for a relaxed structure of TmZrFeSi2, as listed in OQMD.

Geometry as CIF:
```
data_TmZrFeSi2
_chemical_formula_sum 'Tm2 Zr2 Fe2 Si4'
_cell_length_a 5.401
_cell_length_b 5.401
_cell_length_c 9.728
_cell_angle_alpha 117.23
_cell_angle_beta 117.23
_cell_angle_gamma 43.53
_symmetry_space_group_name_H-M 'P 1'
_symmetry_Int_Tables_number 1
loop_
_symmetry_equiv_pos_as_xyz
'x,y,z'
loop_
_atom_site_label
_atom_site_type_symbol
_atom_site_fract_x
_atom_site_fract_y
_atom_site_fract_z
Fe1 Fe 0.723 0.723 0.374
Fe2 Fe 0.277 0.277 0.626
Si1 Si 0.491 0.491 0.122
Si2 Si 0.345 0.345 0.429
Si3 Si 0.655 0.655 0.571
Si4 Si 0.509 0.509 0.878
Tm1 Tm 0.993 0.993 0.323
Tm2 Tm 0.007 0.007 0.677
Zr1 Zr 0.185 0.185 0.100
Zr2 Zr 0.815 0.815 0.900
```

Computed properties:
- Raw total energy: -36.00 eV per formula unit
- Total magnetic moment: 0.06 Bohr magnetons per cell

=====

First-principles (PBE) data for a relaxed structure of NdY2Cd3AgAu2, as listed in OQMD.

Geometry as CIF:
```
data_NdY2Cd3AgAu2
_chemical_formula_sum 'Nd1 Y2 Cd3 Ag1 Au2'
_cell_length_a 3.885
_cell_length_b 7.917
_cell_length_c 7.917
_cell_angle_alpha 120.26
_cell_angle_beta 90.00
_cell_angle_gamma 90.00
_symmetry_space_group_name_H-M 'P 1'
_symmetry_Int_Tables_number 1
loop_
_symmetry_equiv_pos_as_xyz
'x,y,z'
loop_
_atom_site_label
_atom_site_type_symbol
_atom_site_fract_x
_atom_site_fract_y
_atom_site_fract_z
Ag1 Ag 0.000 0.002 0.002
Au1 Au 0.500 0.668 0.329
Au2 Au 0.500 0.329 0.668
Cd1 Cd 0.500 0.739 0.003
Cd2 Cd 0.500 0.259 0.259
Cd3 Cd 0.500 0.003 0.739
Nd1 Nd 0.000 0.593 0.593
Y1 Y 0.000 0.408 0.000
Y2 Y 0.000 0.000 0.408
```

Computed properties:
- Raw total energy: -34.98 eV per formula unit
- ΔH_f (0 K): -582.0 meV per atom
- Total magnetic moment: 0.01 Bohr magnetons per cell